Record 1
Computed, not measured: a relaxed SmDy4Tl2 crystal at the PBE level of DFT.

a b c (Å): 5.1479 5.1479 10.6537
angles (deg): 76.02 76.02 60.00
Last column: nearest neighbours and their distance in Å.
Sites, in units of the cell vectors:
Dy1 0.7062 0.7062 0.8814  4 Tl 3.07-3.20
Dy2 0.2938 0.2938 0.1186  4 Tl 3.07-3.20
Dy3 0.1116 0.1116 0.6651  3 Tl 3.30, 3 Sm 3.42
Dy4 0.8884 0.8884 0.3349  3 Tl 3.30, 3 Sm 3.42
Sm1 0.5000 0.5000 0.5000  2 Tl 3.13, 6 Dy 3.42
Tl1 0.3981 0.3981 0.8058  7 Dy 3.07-3.30, 1 Sm 3.13
Tl2 0.6019 0.6019 0.1942  7 Dy 3.07-3.30, 1 Sm 3.13

Values from the calculation:
The space group is R-3m, No. 166. As for the offset from the most stable computed form: 214 meV per atom. Its total energy is -3.89 eV/atom.

=====

Record 2
Computed, not measured: a relaxed Sm4Dy2Tl crystal at the PBE level of DFT.

a b c (Å): 3.5410 8.2278 8.2278
angles (deg): 90.00 90.00 90.00
Last column: nearest neighbours and their distance in Å.
Sites, in units of the cell vectors:
Dy1 0.5000 0.0000 0.5000  8 Sm 3.43, 2 Dy 3.54
Dy2 0.5000 0.5000 0.0000  8 Sm 3.43, 2 Dy 3.54
Sm1 0.9999 0.7147 0.2853  1 Tl 3.32, 4 Dy 3.43, 4 Sm 3.53-3.54
Sm2 0.0001 0.7147 0.7147  1 Tl 3.32, 4 Dy 3.43, 4 Sm 3.53-3.54
Sm3 0.9999 0.2853 0.7147  1 Tl 3.32, 4 Dy 3.43, 4 Sm 3.53-3.54
Sm4 0.0001 0.2853 0.2853  1 Tl 3.32, 4 Dy 3.43, 4 Sm 3.53-3.54
Tl1 0.0000 0.0000 0.0000  4 Sm 3.32, 2 Tl 3.54

Values from the calculation:
The space group is P4/mmm, No. 123. As for the offset from the most stable computed form: 0 meV per atom. Its total energy is -4.12 eV/atom.

=====

Record 3
Computed, not measured: a relaxed Sm4DyTl3 crystal at the PBE level of DFT.

a b c (Å): 3.8026 5.4739 11.9559
angles (deg): 102.82 99.15 90.00
Last column: nearest neighbours and their distance in Å.
Sites, in units of the cell vectors:
Sm1 0.2669 0.7661 0.5338  2 Tl 3.29, 4 Sm 3.42
Sm2 0.3758 0.3698 0.7516  6 Tl 3.33-3.43, 2 Sm 3.70-3.72
Sm3 0.7331 0.2339 0.4662  2 Tl 3.29, 4 Sm 3.42
Sm4 0.6242 0.6302 0.2484  6 Tl 3.33-3.43, 2 Sm 3.70-3.72
Dy1 0.5000 0.0000 0.0000  8 Tl 3.28-3.33
Tl1 0.1162 0.1235 0.2323  2 Dy 3.28, 6 Sm 3.29-3.34
Tl2 0.0000 0.5000 0.0000  4 Dy 3.33, 4 Sm 3.43
Tl3 0.8838 0.8765 0.7677  2 Dy 3.28, 6 Sm 3.29-3.34

Values from the calculation:
The space group is C2/m, No. 12. As for the offset from the most stable computed form: 0 meV per atom. Its total energy is -4.09 eV/atom.